# NaBTe2 | Alexandria via LeMat-Bulk | PBE | optimized geometry
data_NaBTe2
_cell_length_a 3.6219
_cell_length_b 3.6219
_cell_length_c 26.7236
_cell_angle_alpha 90.00
_cell_angle_beta 90.00
_cell_angle_gamma 120.00
_space_group_name_H-M_alt 'R -3 m'
_space_group_IT_number 166
_space_group_name_Hall '-R 3 2"'
loop_
_atom_site_label
_atom_site_type_symbol
_atom_site_fract_x
_atom_site_fract_y
_atom_site_fract_z
Na1 Na 0.0000 0.0000 0.0000
B1 B 0.0000 0.0000 0.5000
Te1 Te 0.0000 0.0000 0.1132
# Calculated total energy   -3.14 eV per atom
# Calculated density   4.74 g cm⁻³
# Formation energy (no corrections)   165 kJ/mol of formula units
# Calculated volume   303.6 Å³/cell
# M_tot   0.00 Bohr magnetons per cell